Below is a geometry-optimized Rb4Pm3InSe8 structure, with properties calculated at the GGA-PBE level.

POSCAR file:
```
Rb4Pm3InSe8
1.0
4.308 2.487 8.028
-4.308 2.487 8.028
0.000 -4.975 8.028
Rb Pm In Se
4 3 1 8
Direct
0.000 0.000 0.000
0.000 0.500 0.500
0.500 0.000 0.500
0.500 0.500 0.000
0.000 0.000 0.500
0.000 0.500 0.000
0.500 0.000 0.000
0.500 0.500 0.500
0.234 0.234 0.234
0.242 0.728 0.728
0.272 0.272 0.758
0.272 0.758 0.272
0.728 0.242 0.728
0.728 0.728 0.242
0.758 0.272 0.272
0.766 0.766 0.766
```

Properties
ΔE_f (raw) in eV per atom: -1.48

Below is a geometry-optimized TmPu2Pb2 structure, with properties calculated at the GGA-PBE level.

POSCAR file:
```
TmPu2Pb2
1.0
4.231 0.000 0.000
-2.116 3.665 0.000
0.000 0.000 16.649
Tm Pu Pb
2 4 4
Direct
0.333 0.667 0.250
0.667 0.333 0.750
0.333 0.667 0.504
0.333 0.667 0.996
0.667 0.333 0.004
0.667 0.333 0.496
0.000 0.000 0.131
0.000 0.000 0.369
0.000 0.000 0.631
0.000 0.000 0.869
```

Properties
Density of states at the Fermi level in states/eV/atom: 1.462
E above lowest polymorph in eV per atom: 0.1804
ΔH_f (0 K) in eV/f.u.: 0.7

Below is a geometry-optimized CoSbBr2 structure, with properties calculated at the GGA-PBE level.

POSCAR file:
```
CoSbBr2
1.0
1.653 -3.190 0.000
1.653 3.190 0.000
0.000 0.000 10.771
Co Sb Br
1 1 2
Direct
0.000 0.000 0.000
0.000 0.000 0.500
0.500 0.500 0.154
0.500 0.500 0.846
```

Properties
ΔE_f (raw) in eV per atom: 0.22
Density of states at the Fermi level in states/eV/atom: 1.367
E above lowest polymorph in eV per atom: 0.3574

Below is a geometry-optimized Pm12Ni6Sn structure, with properties calculated at the GGA-PBE level.

POSCAR file:
```
Pm12Ni6Sn
1.0
-4.996 4.996 4.996
4.996 -4.996 4.996
4.996 4.996 -4.996
Pm Ni Sn
12 6 1
Direct
0.120 0.814 0.306
0.186 0.306 0.492
0.186 0.694 0.880
0.306 0.120 0.814
0.306 0.492 0.186
0.492 0.186 0.306
0.508 0.814 0.694
0.694 0.508 0.814
0.694 0.880 0.186
0.814 0.306 0.120
0.814 0.694 0.508
0.880 0.186 0.694
0.122 0.622 0.500
0.378 0.500 0.878
0.500 0.122 0.622
0.500 0.878 0.378
0.622 0.500 0.122
0.878 0.378 0.500
0.000 0.000 0.000
```

Properties
Density of states at the Fermi level in states/eV/atom: 0.960
ΔH_f (0 K) in eV/f.u.: -6.2

Below is a geometry-optimized OsPtC3 structure, with properties calculated at the GGA-PBE level.

POSCAR file:
```
OsPtC3
1.0
3.985 0.000 0.000
0.000 3.985 0.000
0.000 0.000 3.985
Os Pt C
1 1 3
Direct
0.000 0.000 0.000
0.500 0.500 0.500
0.000 0.000 0.500
0.000 0.500 0.000
0.500 0.000 0.000
```

Properties
Density of states at the Fermi level in states/eV/atom: 0.396
E above lowest polymorph in eV per atom: 0.0000
ΔH_f (0 K) in eV/f.u.: 10.4

Below is a geometry-optimized KV2WCl structure, with properties calculated at the GGA-PBE level.

POSCAR file:
```
KV2WCl
1.0
5.152 0.000 0.000
0.000 5.152 0.000
0.000 0.000 4.986
K V W Cl
1 2 1 1
Direct
0.000 0.000 0.000
0.000 0.500 0.000
0.500 0.000 0.000
0.500 0.500 0.500
0.000 0.000 0.500
```

Properties
ΔE_f (raw) in eV per atom: 2.51
Density of states at the Fermi level in states/eV/atom: 1.731

Below is a geometry-optimized LiYFe structure, with properties calculated at the GGA-PBE level.

POSCAR file:
```
LiYFe
1.0
-1.703 1.703 4.984
1.703 -1.703 4.984
1.703 1.703 -4.984
Li Y Fe
1 1 1
Direct
0.000 0.000 0.000
0.708 0.708 0.000
0.379 0.379 0.000
```

Properties
Density of states at the Fermi level in states/eV/atom: 1.328
E above lowest polymorph in eV per atom: 0.2602
ΔH_f (0 K) in eV/f.u.: 0.9

Below is a geometry-optimized GdTl2Sb structure, with properties calculated at the GGA-PBE level.

POSCAR file:
```
GdTl2Sb
1.0
1.770 1.022 11.656
-1.770 1.022 11.656
0.000 -2.044 11.656
Gd Tl Sb
1 2 1
Direct
0.000 0.000 0.000
0.091 0.091 0.091
0.909 0.909 0.909
0.500 0.500 0.500
```

Properties
ΔE_f (raw) in eV per atom: 0.14
Density of states at the Fermi level in states/eV/atom: 1.286
E above lowest polymorph in eV per atom: 0.5452

Below is a geometry-optimized GeSb3Te structure, with properties calculated at the GGA-PBE level.

POSCAR file:
```
GeSb3Te
1.0
5.359 0.000 0.000
0.000 5.359 0.000
0.000 0.000 5.359
Ge Sb Te
1 3 1
Direct
0.000 0.000 0.000
0.000 0.000 0.500
0.000 0.500 0.000
0.500 0.000 0.000
0.500 0.500 0.500
```

Properties
ΔE_f (raw) in eV per atom: 0.62
Density of states at the Fermi level in states/eV/atom: 0.718
E above lowest polymorph in eV per atom: 0.0000

Below is a geometry-optimized I2Cl5O2 structure, with properties calculated at the GGA-PBE level.

POSCAR file:
```
I2Cl5O2
1.0
-13.852 2.875 3.738
13.852 -2.875 3.738
13.852 2.875 -3.738
I Cl O
4 10 4
Direct
0.000 0.000 0.000
0.000 0.500 0.500
0.369 0.198 0.671
0.528 0.698 0.329
0.081 0.489 0.750
0.081 0.831 0.092
0.356 0.108 0.572
0.356 0.284 0.748
0.448 0.935 0.013
0.536 0.608 0.252
0.536 0.784 0.428
0.739 0.331 0.250
0.739 0.989 0.908
0.922 0.435 0.987
0.369 0.163 0.250
0.369 0.619 0.706
0.913 0.119 0.750
0.913 0.663 0.294
```

Properties
ΔE_f (raw) in eV per atom: 0.01
Density of states at the Fermi level in states/eV/atom: 0.142

Below is a geometry-optimized NaIn6Hg4 structure, with properties calculated at the GGA-PBE level.

POSCAR file:
```
NaIn6Hg4
1.0
8.856 0.000 0.000
-4.428 7.669 0.000
0.000 0.000 4.491
Na In Hg
1 6 4
Direct
0.000 0.000 0.000
0.199 0.397 0.500
0.199 0.801 0.500
0.535 0.070 0.000
0.535 0.465 0.000
0.603 0.801 0.500
0.930 0.465 0.000
0.333 0.667 0.000
0.366 0.183 0.500
0.817 0.183 0.500
0.817 0.634 0.500
```

Properties
Density of states at the Fermi level in states/eV/atom: 0.286
ΔH_f (0 K) in eV/f.u.: -0.3

Below is a geometry-optimized RbAl3Au3 structure, with properties calculated at the GGA-PBE level.

POSCAR file:
```
RbAl3Au3
1.0
7.174 0.000 0.000
0.000 7.174 0.000
0.000 0.000 7.174
Rb Al Au
2 6 6
Direct
0.000 0.000 0.000
0.500 0.500 0.500
0.000 0.250 0.500
0.000 0.750 0.500
0.250 0.500 0.000
0.500 0.000 0.250
0.500 0.000 0.750
0.750 0.500 0.000
0.000 0.500 0.250
0.000 0.500 0.750
0.250 0.000 0.500
0.500 0.250 0.000
0.500 0.750 0.000
0.750 0.000 0.500
```

Properties
Density of states at the Fermi level in states/eV/atom: 0.231
E above lowest polymorph in eV per atom: 0.0218
ΔH_f (0 K) in eV/f.u.: -1.7

Below is a geometry-optimized MnFe2RuN structure, with properties calculated at the GGA-PBE level.

POSCAR file:
```
MnFe2RuN
1.0
3.816 0.000 0.000
0.000 3.816 0.000
0.000 0.000 3.790
Mn Fe Ru N
1 2 1 1
Direct
0.000 0.000 0.000
0.000 0.500 0.500
0.500 0.000 0.500
0.500 0.500 0.000
0.000 0.000 0.500
```

Properties
ΔE_f (raw) in eV per atom: 0.07
Density of states at the Fermi level in states/eV/atom: 1.537
E above lowest polymorph in eV per atom: 0.0000

Below is a geometry-optimized LaP2H2CO6 structure, with properties calculated at the GGA-PBE level.

POSCAR file:
```
LaP2H2CO6
1.0
4.190 -7.237 0.000
4.190 7.237 0.000
-1.801 0.000 5.067
La P H C O
2 4 4 2 12
Direct
0.227 0.773 0.000
0.773 0.227 0.000
0.151 0.371 0.620
0.371 0.151 0.620
0.629 0.849 0.380
0.849 0.629 0.380
0.099 0.099 0.752
0.311 0.311 0.966
0.689 0.689 0.034
0.901 0.901 0.248
0.231 0.231 0.757
0.769 0.769 0.243
0.030 0.397 0.794
0.038 0.271 0.330
0.271 0.038 0.330
0.324 0.585 0.684
0.397 0.030 0.794
0.415 0.676 0.316
0.585 0.324 0.684
0.603 0.970 0.206
0.676 0.415 0.316
0.729 0.962 0.670
0.962 0.729 0.670
0.970 0.603 0.206
```

Properties
Density of states at the Fermi level in states/eV/atom: 0.020
E in hartree per atom: -0.2554

Below is a geometry-optimized TiCdMo2W structure, with properties calculated at the GGA-PBE level.

POSCAR file:
```
TiCdMo2W
1.0
4.589 0.000 0.000
0.000 4.589 0.000
0.000 0.000 4.655
Ti Cd Mo W
1 1 2 1
Direct
0.000 0.000 0.000
0.500 0.500 0.500
0.000 0.500 0.000
0.500 0.000 0.000
0.000 0.000 0.500
```

Properties
Density of states at the Fermi level in states/eV/atom: 0.614
ΔH_f (0 K) in eV/f.u.: 7.5

Below is a geometry-optimized Ca2MnCl structure, with properties calculated at the GGA-PBE level.

POSCAR file:
```
Ca2MnCl
1.0
3.248 -1.875 0.000
3.248 1.875 0.000
-2.155 0.000 8.591
Ca Mn Cl
2 1 1
Direct
0.249 0.249 0.244
0.751 0.751 0.756
0.000 0.000 0.500
0.500 0.500 0.000
```

Properties
ΔE_f (raw) in eV per atom: -0.49
Density of states at the Fermi level in states/eV/atom: 0.608
E above lowest polymorph in eV per atom: 0.0261

Below is a geometry-optimized Y2InMoC structure, with properties calculated at the GGA-PBE level.

POSCAR file:
```
Y2InMoC
1.0
5.251 0.000 0.000
0.000 5.251 0.000
0.000 0.000 5.214
Y In Mo C
2 1 1 1
Direct
0.000 0.500 0.000
0.500 0.000 0.000
0.000 0.000 0.500
0.000 0.000 0.000
0.500 0.500 0.500
```

Properties
Density of states at the Fermi level in states/eV/atom: 0.555
E above lowest polymorph in eV per atom: 1.8410
ΔH_f (0 K) in eV/f.u.: 7.7

Below is a geometry-optimized Cs2Tl2Hg structure, with properties calculated at the GGA-PBE level.

POSCAR file:
```
Cs2Tl2Hg
1.0
8.524 0.000 0.000
0.000 8.524 0.000
0.000 0.000 6.343
Cs Tl Hg
4 4 2
Direct
0.185 0.315 0.000
0.315 0.815 0.000
0.685 0.185 0.000
0.815 0.685 0.000
0.127 0.627 0.500
0.373 0.127 0.500
0.627 0.873 0.500
0.873 0.373 0.500
0.000 0.000 0.500
0.500 0.500 0.500
```

Properties
Density of states at the Fermi level in states/eV/atom: 0.478
E above lowest polymorph in eV per atom: 0.0898
ΔH_f (0 K) in eV/f.u.: -0.2

Below is a geometry-optimized Pm2NdMg9 structure, with properties calculated at the GGA-PBE level.

POSCAR file:
```
Pm2NdMg9
1.0
3.038 1.754 9.909
-3.038 1.754 9.909
0.000 -3.508 9.909
Pm Nd Mg
2 1 9
Direct
0.143 0.143 0.143
0.857 0.857 0.857
0.000 0.000 0.000
0.080 0.585 0.585
0.334 0.334 0.334
0.415 0.415 0.920
0.415 0.920 0.415
0.500 0.500 0.500
0.585 0.080 0.585
0.585 0.585 0.080
0.666 0.666 0.666
0.920 0.415 0.415
```

Properties
Density of states at the Fermi level in states/eV/atom: 1.004
ΔH_f (0 K) in eV/f.u.: -0.8

Below is a geometry-optimized Zr3Be structure, with properties calculated at the GGA-PBE level.

POSCAR file:
```
Zr3Be
1.0
4.974 0.000 0.000
0.000 5.935 0.000
0.000 0.000 5.363
Zr Be
6 2
Direct
0.250 0.001 0.162
0.250 0.250 0.634
0.250 0.499 0.162
0.750 0.501 0.838
0.750 0.750 0.366
0.750 0.999 0.838
0.250 0.750 0.669
0.750 0.250 0.331
```

Properties
Density of states at the Fermi level in states/eV/atom: 1.048
E above lowest polymorph in eV per atom: 0.0745
ΔH_f (0 K) in eV/f.u.: 0.4

Below is a geometry-optimized HfMnHIr2 structure, with properties calculated at the GGA-PBE level.

POSCAR file:
```
HfMnHIr2
1.0
3.997 0.000 0.000
0.000 3.997 0.000
0.000 0.000 4.027
Hf Mn H Ir
1 1 1 2
Direct
0.000 0.000 0.000
0.500 0.500 0.000
0.000 0.000 0.500
0.000 0.500 0.500
0.500 0.000 0.500
```

Properties
Density of states at the Fermi level in states/eV/atom: 0.683
E above lowest polymorph in eV per atom: 0.0808

Below is a geometry-optimized Sm6Si3S14 structure, with properties calculated at the GGA-PBE level.

POSCAR file:
```
Sm6Si3S14
1.0
10.127 0.000 0.000
-5.064 8.770 0.000
0.000 0.000 5.698
Sm Si S
6 3 14
Direct
0.023 0.456 0.000
0.307 0.209 0.510
0.434 0.977 0.000
0.544 0.566 0.000
0.791 0.098 0.510
0.902 0.693 0.510
0.000 0.000 0.097
0.333 0.667 0.587
0.667 0.333 0.249
0.000 0.000 0.726
0.076 0.222 0.243
0.146 0.924 0.243
0.188 0.743 0.735
0.257 0.445 0.735
0.333 0.667 0.218
0.412 0.247 0.994
0.506 0.087 0.480
0.555 0.812 0.735
0.581 0.494 0.480
0.753 0.165 0.994
0.778 0.854 0.243
0.835 0.588 0.994
0.913 0.419 0.480
```

Properties
ΔE_f (raw) in eV per atom: -1.53

Below is a geometry-optimized Ac2SnBi structure, with properties calculated at the GGA-PBE level.

POSCAR file:
```
Ac2SnBi
1.0
2.332 1.346 8.643
-2.332 1.346 8.643
0.000 -2.693 8.643
Ac Sn Bi
2 1 1
Direct
0.000 0.000 0.000
0.170 0.170 0.170
0.586 0.586 0.586
0.417 0.417 0.417
```

Properties
Density of states at the Fermi level in states/eV/atom: 0.713
E above lowest polymorph in eV per atom: 0.1796
ΔH_f (0 K) in eV/f.u.: -2.6

Short version: magnetization = 0.00 7.41 1.29 0.00 0.00 3.66 2.04 7.70 0.00 1.99 0.00 0.00 6.50 1.97 0.00 3.41 1.67 0.00 0.00 0.00 2.91 0.00 0.00 Bohr magnetons per cell, in the order given.